Compound: As2C3
Source: the Alexandria database
Functional: PBE
Structure: relaxed

a b c (Å): 3.1047 3.1047 6.9468
angles (deg): 90.00 90.00 120.00
Space group P-3m1 (No. 164)
Unique sites:
As  0.3333  0.6667  0.2818 [2 per cell]
C  0.0000  0.0000  0.5000 [1 per cell]
C  0.3333  0.6667  0.8387 [2 per cell]

Values from the calculation:
Energy relative to the lowest polymorph listed for this composition   514 kJ/mol of formula units
Energy relative to the elements   1.968 eV per atom
Size of the total moment   0.000 μB per atom
DOS at the Fermi energy   2.42 states/eV per cell
Energy   -5.426 eV/atom